[1]
First-principles (PBE) data for a relaxed In5Hg11Pb crystal, as listed in the Alexandria database.

abc: 6.3046 8.9760 8.9288
angles: 108.41 98.24 96.61
Closest atoms and distances in Å follow each position.
Atoms (fractional coordinates):
In: 0.8129 0.0904 0.3595  7 Hg 3.19-3.41, 1 Pb 3.47, 1 In 3.49
In: 0.1871 0.9096 0.6405  7 Hg 3.19-3.41, 1 Pb 3.47, 1 In 3.49
In: 0.2020 0.6428 0.9107  7 Hg 3.21-3.41, 1 In 3.47, 1 Pb 3.49
In: 0.7980 0.3572 0.0893  7 Hg 3.21-3.41, 1 In 3.47, 1 Pb 3.49
In: 0.0000 0.5000 0.5000  6 Hg 3.12-3.40, 4 In 3.47-3.49
Hg: 0.5277 0.6686 0.6671  5 Hg 3.14-3.46, 3 In 3.24-3.40
Hg: 0.4723 0.3314 0.3329  5 Hg 3.14-3.46, 3 In 3.24-3.40
Hg: 0.7097 0.0459 0.6880  3 Hg 3.01-3.37, 2 In 3.23-3.30, 1 Pb 3.27
Hg: 0.2903 0.9541 0.3120  3 Hg 3.01-3.37, 2 In 3.23-3.30, 1 Pb 3.27
Hg: 0.2729 0.3089 0.9548  2 Hg 3.00-3.17, 2 In 3.22-3.29, 1 Pb 3.26
Hg: 0.7271 0.6911 0.0452  2 Hg 3.00-3.17, 2 In 3.22-3.29, 1 Pb 3.26
Hg: 0.5000 0.0000 0.0000  2 Pb 3.15, 4 In 3.32, 6 Hg 3.37-3.52
Hg: 0.7415 0.7407 0.3949  4 Hg 3.00-3.19, 3 In 3.14-3.24
Hg: 0.2585 0.2593 0.6051  4 Hg 3.00-3.19, 3 In 3.14-3.24
Hg: 0.2444 0.6026 0.2585  4 Hg 3.01-3.17, 3 In 3.12-3.22
Hg: 0.7556 0.3974 0.7415  4 Hg 3.01-3.17, 3 In 3.12-3.22
Pb: 0.0000 0.0000 0.0000  6 Hg 3.15-3.27, 4 In 3.47-3.49

Results
volume: 467.5 Å³ per cell
calculated formation energy: 0.5 eV per formula unit
uncorrected energy: -20.23 eV per cell

***

[2]
First-principles (PBE) data for a relaxed In6HgPb crystal, as listed in the Alexandria database.

abc: 4.5280 10.1659 6.9682
angles: 136.84 90.00 90.00
Closest atoms and distances in Å follow each position.
Atoms (fractional coordinates):
In: 0.0000 0.8802 0.2521  8 In 3.29-3.56, 2 Hg 3.43-3.54, 2 Pb 3.44
In: 0.0000 0.3719 0.2521  8 In 3.29-3.56, 2 Hg 3.43-3.54, 2 Pb 3.44
In: 0.0000 0.3698 0.7397  10 In 3.29-3.56, 2 Pb 3.33
In: 0.5000 0.6277 0.7514  8 In 3.29-3.54, 2 Hg 3.39, 2 Pb 3.47-3.50
In: 0.5000 0.1238 0.7514  8 In 3.29-3.54, 2 Hg 3.39, 2 Pb 3.47-3.50
In: 0.5000 0.1201 0.2401  2 Hg 3.22, 10 In 3.29-3.54
Hg: 0.0000 0.8803 0.7606  10 In 3.22-3.54, 2 Pb 3.32
Pb: 0.5000 0.6263 0.2526  2 Hg 3.32, 10 In 3.33-3.50

Results
E above lowest polymorph: 0.000 eV per atom
volume: 219.4 Å³ per cell
calculated formation energy: 0.1 eV per formula unit
uncorrected energy: -20.32 eV per cell

***

[3]
First-principles (PBE) data for a relaxed In8Hg6Pb crystal, as listed in the Alexandria database.

abc: 6.7622 10.5972 11.3602
angles: 44.62 59.06 45.53
Closest atoms and distances in Å follow each position.
Atoms (fractional coordinates):
In: 0.7545 0.4301 0.5990  2 Hg 3.14-3.18, 4 In 3.21-3.26, 1 Pb 3.45
In: 0.9067 0.2360 0.4144  2 Hg 3.07-3.21, 4 In 3.20-3.26
In: 0.5781 0.9136 0.3977  2 Hg 3.08-3.18, 4 In 3.24-3.27
In: 0.3281 0.3393 0.9963  4 Hg 3.11-3.40, 2 In 3.19-3.46, 1 Pb 3.27
In: 0.6719 0.6607 0.0037  4 Hg 3.11-3.40, 2 In 3.19-3.46, 1 Pb 3.27
In: 0.4219 0.0864 0.6023  2 Hg 3.08-3.18, 4 In 3.24-3.27
In: 0.0933 0.7640 0.5856  2 Hg 3.07-3.21, 4 In 3.20-3.26
In: 0.2455 0.5699 0.4010  2 Hg 3.14-3.18, 4 In 3.21-3.26, 1 Pb 3.45
Hg: 0.0878 0.5457 0.2005  3 In 3.07-3.34, 3 Hg 3.22-3.26, 1 Pb 3.24
Hg: 0.5800 0.1098 0.8031  5 In 3.14-3.44, 3 Hg 3.21-3.26
Hg: 0.2464 0.7757 0.8009  3 In 3.08-3.21, 3 Hg 3.22-3.26, 1 Pb 3.43
Hg: 0.7536 0.2243 0.1991  3 In 3.08-3.21, 3 Hg 3.22-3.26, 1 Pb 3.43
Hg: 0.4200 0.8902 0.1969  5 In 3.14-3.44, 3 Hg 3.21-3.26
Hg: 0.9122 0.4543 0.7995  3 In 3.07-3.34, 3 Hg 3.22-3.26, 1 Pb 3.24
Pb: 0.0000 0.0000 0.0000  6 Hg 3.24-3.55, 4 In 3.27-3.45

Results
E above lowest polymorph: 0.000 eV per atom
volume: 407.9 Å³ per cell
calculated formation energy: 0.2 eV per formula unit
uncorrected energy: -27.19 eV per cell

***

[4]
First-principles (PBE) data for a relaxed In2HgPb crystal, as listed in the Alexandria database.

abc: 5.9108 5.9108 5.7901
angles: 79.75 79.75 33.99
Closest atoms and distances in Å follow each position.
Atoms (fractional coordinates):
Pb: 0.4992 0.4992 0.5023  7 In 3.35-3.43, 3 Hg 3.39-3.42, 2 Pb 3.46
Hg: 0.7469 0.7469 0.7557  7 In 3.33-3.43, 3 Pb 3.39-3.42, 2 Hg 3.46
In: 0.0022 0.0022 0.9966  3 Hg 3.34-3.43, 4 Pb 3.35-3.39, 5 In 3.40-3.46
In: 0.2518 0.2518 0.2454  4 Hg 3.33-3.41, 5 In 3.40-3.46, 3 Pb 3.40-3.43

Results
volume: 111.1 Å³ per cell
calculated formation energy: 0.1 eV per formula unit
uncorrected energy: -9.41 eV per cell

***

[5]
First-principles (PBE) data for a relaxed In3Hg3Pb2 crystal, as listed in the Alexandria database.

abc: 4.5380 5.2025 9.9423
angles: 105.17 103.19 90.00
Closest atoms and distances in Å follow each position.
Atoms (fractional coordinates):
In: 0.1188 0.1188 0.2377  6 Hg 3.17-3.45, 4 Pb 3.38-3.53, 2 In 3.42
In: 0.0000 0.5000 0.0000  8 Hg 3.18-3.45, 4 In 3.42
In: 0.8812 0.8812 0.7623  6 Hg 3.17-3.45, 4 Pb 3.38-3.53, 2 In 3.42
Hg: 0.6198 0.6198 0.2396  6 In 3.18-3.45, 2 Pb 3.28, 2 Hg 3.43
Hg: 0.3802 0.3802 0.7604  6 In 3.18-3.45, 2 Pb 3.28, 2 Hg 3.43
Hg: 0.5000 0.0000 0.0000  8 In 3.17-3.45, 4 Hg 3.43
Pb: 0.7533 0.2533 0.5066  4 Hg 3.28-3.60, 4 In 3.38-3.53, 4 Pb 3.45
Pb: 0.2467 0.7467 0.4934  4 Hg 3.28-3.60, 4 In 3.38-3.53, 4 Pb 3.45

Results
E above lowest polymorph: 0.000 eV per atom
volume: 220.1 Å³ per cell
calculated formation energy: 0.2 eV per formula unit
uncorrected energy: -16.35 eV per cell

***

[6]
First-principles (PBE) data for a relaxed In5HgPb6 crystal, as listed in the Alexandria database.

abc: 5.0758 9.2307 9.2307
angles: 111.24 106.11 106.11
Closest atoms and distances in Å follow each position.
Atoms (fractional coordinates):
Pb: 0.2478 0.0825 0.4126  1 Hg 3.37, 7 In 3.38-3.43, 4 Pb 3.57-3.63
Pb: 0.7522 0.5874 0.9175  1 Hg 3.37, 7 In 3.38-3.43, 4 Pb 3.57-3.63
Pb: 0.7436 0.2452 0.2452  2 Hg 3.36-3.39, 6 In 3.41-3.44, 4 Pb 3.57-3.58
Pb: 0.2564 0.7548 0.7548  2 Hg 3.36-3.39, 6 In 3.41-3.44, 4 Pb 3.57-3.58
Pb: 0.2478 0.4126 0.0825  1 Hg 3.37, 7 In 3.38-3.43, 4 Pb 3.57-3.63
Pb: 0.7522 0.9175 0.5874  1 Hg 3.37, 7 In 3.38-3.43, 4 Pb 3.57-3.63
Hg: 0.0000 0.0000 0.0000  8 Pb 3.36-3.39, 4 In 3.62
In: 0.5000 0.1691 0.8309  8 Pb 3.38-3.41, 2 In 3.58, 2 Hg 3.62
In: 0.0000 0.3344 0.6656  8 Pb 3.41-3.43, 4 In 3.58
In: 0.5000 0.5000 0.5000  8 Pb 3.40-3.44, 4 In 3.58
In: 0.0000 0.6656 0.3344  8 Pb 3.41-3.43, 4 In 3.58
In: 0.5000 0.8309 0.1691  8 Pb 3.38-3.41, 2 In 3.58, 2 Hg 3.62

Results
volume: 351.0 Å³ per cell
calculated formation energy: 0.2 eV per formula unit
uncorrected energy: -36.06 eV per cell

***

[7]
First-principles (PBE) data for a relaxed InHg2Pb crystal, as listed in the Alexandria database.

abc: 8.4481 8.4481 6.7969
angles: 51.58 51.58 90.00
Closest atoms and distances in Å follow each position.
Atoms (fractional coordinates):
Pb: 0.0000 0.0000 0.0000  4 Hg 3.17, 2 In 3.24
Pb: 0.7500 0.2500 0.5000  4 Hg 3.17, 2 In 3.24
Hg: 0.6121 0.1250 0.2500  2 In 3.02, 2 Pb 3.17, 2 Hg 3.25
Hg: 0.1379 0.6250 0.2500  2 In 3.02, 2 Pb 3.17, 2 Hg 3.25
Hg: 0.3750 0.3879 0.7500  2 In 3.02, 2 Pb 3.17, 2 Hg 3.25
Hg: 0.8750 0.8621 0.7500  2 In 3.02, 2 Pb 3.17, 2 Hg 3.25
In: 0.5000 0.5000 0.0000  4 Hg 3.02, 2 Pb 3.24
In: 0.2500 0.7500 0.5000  4 Hg 3.02, 2 Pb 3.24

Results
volume: 231.4 Å³ per cell
calculated formation energy: 0.2 eV per formula unit
uncorrected energy: -13.68 eV per cell

***

[8]
First-principles (PBE) data for a relaxed InHgPb crystal, as listed in the Alexandria database.

abc: 8.5922 8.3113 3.3977
angles: 83.09 73.80 23.11
Closest atoms and distances in Å follow each position.
Atoms (fractional coordinates):
Pb: 0.6641 0.6641 0.3359  2 Hg 3.29, 2 In 3.39, 6 Pb 3.40-3.69
Hg: 0.9959 0.9959 0.0041  2 In 3.13, 2 Pb 3.29, 4 Hg 3.40
In: 0.3400 0.3400 0.6600  2 Hg 3.13, 2 Pb 3.39, 4 In 3.40

Results
E above lowest polymorph: 0.026 eV per atom
volume: 85.3 Å³ per cell
calculated formation energy: 0.1 eV per formula unit
uncorrected energy: -6.67 eV per cell

***

[9]
First-principles (PBE) data for a relaxed In6Hg7Pb crystal, as listed in the Alexandria database.

abc: 7.4428 10.9861 10.9861
angles: 92.27 70.20 70.20
Closest atoms and distances in Å follow each position.
Atoms (fractional coordinates):
In: 0.5044 0.3523 0.0386  4 Hg 2.99-3.07, 2 In 3.23-3.31
In: 0.1047 0.0386 0.3523  4 Hg 2.99-3.07, 2 In 3.23-3.31
In: 0.9956 0.4614 0.1477  4 Hg 2.99-3.07, 2 In 3.23-3.31
In: 0.3953 0.1477 0.4614  4 Hg 2.99-3.07, 2 In 3.23-3.31
In: 0.4956 0.6477 0.9614  4 Hg 2.99-3.07, 2 In 3.23-3.31
In: 0.8953 0.9614 0.6477  4 Hg 2.99-3.07, 2 In 3.23-3.31
In: 0.0044 0.5386 0.8523  4 Hg 2.99-3.07, 2 In 3.23-3.31
In: 0.6047 0.8523 0.5386  4 Hg 2.99-3.07, 2 In 3.23-3.31
In: 0.0564 0.6414 0.3586  6 Hg 3.14-3.42, 2 In 3.23
In: 0.9436 0.3586 0.6414  6 Hg 3.14-3.42, 2 In 3.23
In: 0.4436 0.1414 0.8586  6 Hg 3.14-3.42, 2 In 3.23
In: 0.5564 0.8586 0.1414  6 Hg 3.14-3.42, 2 In 3.23
Hg: 0.7886 0.0239 0.9761  4 In 3.14-3.41, 1 Hg 3.24
Hg: 0.2114 0.9761 0.0239  4 In 3.14-3.41, 1 Hg 3.24
Hg: 0.7114 0.5239 0.4761  4 In 3.14-3.41, 1 Hg 3.24
Hg: 0.2886 0.4761 0.5239  4 In 3.14-3.41, 1 Hg 3.24
Hg: 0.5362 0.5625 0.2143  1 Hg 2.96, 4 In 3.02-3.16
Hg: 0.6870 0.2143 0.5625  1 Hg 2.96, 4 In 3.02-3.16
Hg: 0.9638 0.2857 0.9375  1 Hg 2.96, 4 In 3.02-3.16
Hg: 0.8130 0.9375 0.2857  1 Hg 2.96, 4 In 3.02-3.16
Hg: 0.4638 0.4375 0.7857  1 Hg 2.96, 4 In 3.02-3.16
Hg: 0.3130 0.7857 0.4375  1 Hg 2.96, 4 In 3.02-3.16
Hg: 0.0362 0.7143 0.0625  1 Hg 2.96, 4 In 3.02-3.16
Hg: 0.1870 0.0625 0.7143  1 Hg 2.96, 4 In 3.02-3.16
Hg: 0.2500 0.2500 0.2500  4 In 2.99
Hg: 0.7500 0.7500 0.7500  4 In 2.99
Pb: 0.7500 0.2500 0.2500  10 Hg 3.36-3.72, 4 In 3.42
Pb: 0.2500 0.7500 0.7500  10 Hg 3.36-3.72, 4 In 3.42

Results
volume: 783.0 Å³ per cell
calculated formation energy: 0.7 eV per formula unit
uncorrected energy: -43.12 eV per cell